Entry 1:
Computed, not measured: a relaxed Sr3Mg crystal at the PBE level of DFT.

The structure belongs to space group P-6m2 (No. 187); the cell edges are 4.1931, 4.1931 and 12.4707 Å and the angles 90.00°, 90.00° and 120.00°. Symmetry generates all atoms from Sr at (0.0000, 0.0000, 0.0000), Sr at (0.6667, 0.3333, 0.2828) and Mg at (0.0000, 0.0000, 0.5000).

Entry 2:
Computed, not measured: a relaxed SrMg crystal at the PBE level of DFT.

The structure belongs to space group Pbcm (No. 57); the cell edges are 12.049, 10.660 and 7.205 Å and the angles 90.00°, 90.00° and 90.00°. Symmetry generates all atoms from Sr at (0.121, 0.250, 0.000), Sr at (0.188, 0.631, 0.250), Sr at (0.372, 0.031, 0.250), Mg at (0.074, 0.546, 0.750), Mg at (0.370, 0.135, 0.750) and Mg at (0.442, 0.750, 0.000).

Entry 3:
Computed, not measured: a relaxed Sr3Mg crystal at the PBE level of DFT.

The structure belongs to space group Immm (No. 71); the cell edges are 4.333, 6.504 and 13.065 Å and the angles 90.00°, 90.00° and 90.00°. Symmetry generates all atoms from Sr at (0.000, 0.000, 0.000), Sr at (0.000, 0.500, 0.217) and Mg at (0.000, 0.000, 0.500).

Entry 4:
Computed, not measured: a relaxed Sr3Mg crystal at the PBE level of DFT.

The structure belongs to space group Pmmn (No. 59, origin choice 2); the cell edges are 6.495, 7.990 and 6.923 Å and the angles 90.00°, 90.00° and 90.00°. Symmetry generates all atoms from Sr at (0.250, 0.002, 0.165), Sr at (0.250, 0.750, 0.643) and Mg at (0.250, 0.250, 0.680).

no.,E (eV per atom)
1,-1.599
2,-1.636
3,-1.643
4,-1.623